1.
Here is a crystal of SrMn2NbAs relaxed with PBEsol from Alexandria via LeMat-Bulk. Energies are from meta-GGA SCAN.

Results
The density of states at the Fermi level is 0.36 states/eV/atom. The energy relative to the elements comes out at 0.09 eV/atom. The magnetic moment is 7.18 μB/cell. The final energy is -22.34 eV per atom.

a = 4.8196 Å, b = 4.8196 Å, c = 5.0106 Å
α = 90.00°, β = 90.00°, γ = 90.00°
With the nearest neighbours (Å) after each atom.
Positions (direct):
Mn: 0.0000 0.5000 0.0000  2 Nb 2.41
Mn: 0.5000 0.0000 0.0000  2 Nb 2.41
As: 0.0000 0.0000 0.5000  2 Nb 2.51
Sr: 0.5000 0.5000 0.5000  4 As 3.41, 8 Mn 3.48
Nb: 0.0000 0.0000 0.0000  4 Mn 2.41, 2 As 2.51

=====

2.
Here is a crystal of NdMnAsO relaxed with PBEsol from Alexandria via LeMat-Bulk. Energies are from meta-GGA SCAN.

Results
The density of states at the Fermi level is 0.51 states/eV/atom. The magnetic moment is 6.25 μB/cell. The calculation puts the formation energy (no corrections) at -1.993 eV per atom. The final energy is -24.06 eV per atom.

a = 3.9085 Å, b = 3.9085 Å, c = 8.6183 Å
α = 90.00°, β = 90.00°, γ = 90.00°
With the nearest neighbours (Å) after each atom.
Positions (direct):
Mn: 0.0000 0.0000 0.5000  4 As 2.38
Mn: 0.5000 0.5000 0.5000  4 As 2.38
As: 0.0000 0.5000 0.3422  4 Mn 2.38
Nd: 0.0000 0.5000 0.8589  4 O 2.30
Nd: 0.5000 0.0000 0.1411  4 O 2.30
O: 0.5000 0.5000 0.0000  4 Nd 2.30
As: 0.5000 0.0000 0.6578  4 Mn 2.38
O: 0.0000 0.0000 0.0000  4 Nd 2.30

=====

3.
Here is a crystal of MnNiAs relaxed with PBEsol from Alexandria via LeMat-Bulk. Energies are from meta-GGA SCAN.

Results
The density of states at the Fermi level is 0.66 states/eV/atom. The energy relative to the elements comes out at -0.42 eV/atom. The magnetic moment is 14.17 μB/cell. The final energy is -18.62 eV per atom.

a = 3.5161 Å, b = 6.0332 Å, c = 6.9740 Å
α = 90.00°, β = 90.00°, γ = 90.00°
With the nearest neighbours (Å) after each atom.
Positions (direct):
Mn: 0.7500 0.4661 0.8419  5 As 2.45-2.60, 2 Ni 2.73
Ni: 0.2500 0.6379 0.5613  4 As 2.25-2.34
Ni: 0.7500 0.3621 0.4387  4 As 2.25-2.34
As: 0.2500 0.7592 0.8663  4 Ni 2.25-2.34, 3 Mn 2.45-2.50
As: 0.7500 0.2408 0.1337  4 Ni 2.25-2.34, 3 Mn 2.45-2.50
Ni: 0.7500 0.8621 0.0613  4 As 2.25-2.34
Ni: 0.2500 0.1379 0.9387  4 As 2.25-2.34
As: 0.2500 0.2592 0.6337  4 Ni 2.25-2.34, 3 Mn 2.45-2.50
Mn: 0.2500 0.5339 0.1581  5 As 2.45-2.60, 2 Ni 2.73
Mn: 0.7500 0.9661 0.6581  5 As 2.45-2.60, 2 Ni 2.73
As: 0.7500 0.7408 0.3663  4 Ni 2.25-2.34, 3 Mn 2.45-2.50
Mn: 0.2500 0.0339 0.3419  5 As 2.45-2.60, 2 Ni 2.73

=====

4.
Here is a crystal of MnNiAs2 relaxed with PBEsol from Alexandria via LeMat-Bulk. Energies are from meta-GGA SCAN.

Results
The density of states at the Fermi level is 0.76 states/eV/atom. The energy relative to the elements comes out at 0.05 eV/atom. The magnetic moment is 0.00 μB/cell. The final energy is -18.65 eV per atom. The value obtained for the energy relative to the lowest polymorph listed for this composition is 0.261 eV per atom.

a = 2.8870 Å, b = 2.8870 Å, c = 7.4148 Å
α = 78.77°, β = 78.77°, γ = 60.00°
With the nearest neighbours (Å) after each atom.
Positions (direct):
Mn: 0.5000 0.5000 0.5000  6 As 2.42
Ni: 0.0000 0.0000 0.0000  6 As 2.50
As: 0.2474 0.2474 0.2577  3 Mn 2.42, 3 Ni 2.50
As: 0.7526 0.7526 0.7423  3 Mn 2.42, 3 Ni 2.50

=====

5.
Here is a crystal of MnNiAs relaxed with PBEsol from Alexandria via LeMat-Bulk. Energies are from meta-GGA SCAN.

Results
The density of states at the Fermi level is 0.47 states/eV/atom. The energy relative to the elements comes out at -0.20 eV/atom. The magnetic moment is 3.84 μB/cell. The final energy is -18.41 eV per atom.

a = 3.2469 Å, b = 3.2546 Å, c = 4.2900 Å
α = 112.29°, β = 112.24°, γ = 90.00°
With the nearest neighbours (Å) after each atom.
Positions (direct):
Mn: 0.6692 0.6692 0.3384  5 As 2.41-2.60, 5 Ni 2.47-2.57
As: 0.0022 0.0022 0.0044  5 Ni 2.36-2.62, 5 Mn 2.41-2.60
Ni: 0.3286 0.3286 0.6572  5 As 2.36-2.62, 5 Mn 2.47-2.57

=====

6.
Here is a crystal of MnNiAs relaxed with PBEsol from Alexandria via LeMat-Bulk. Energies are from meta-GGA SCAN.

Results
The density of states at the Fermi level is 0.45 states/eV/atom. The energy relative to the elements comes out at -0.45 eV/atom. The magnetic moment is 10.84 μB/cell. The final energy is -18.66 eV per atom.

a = 3.5501 Å, b = 6.0447 Å, c = 6.0447 Å
α = 120.00°, β = 90.00°, γ = 90.00°
With the nearest neighbours (Å) after each atom.
Positions (direct):
Ni: 0.0000 0.0000 0.7448  4 As 2.29-2.35
Ni: 0.0000 0.7448 0.0000  4 As 2.29-2.35
As: 0.0000 0.6667 0.3333  3 Ni 2.29, 6 Mn 2.56
Mn: 0.5000 0.5954 0.5954  5 As 2.45-2.56, 2 Ni 2.72
Ni: 0.0000 0.2552 0.2552  4 As 2.29-2.35
As: 0.5000 0.0000 0.0000  6 Ni 2.35, 3 Mn 2.45
Mn: 0.5000 0.0000 0.4046  5 As 2.45-2.56, 2 Ni 2.72
As: 0.0000 0.3333 0.6667  3 Ni 2.29, 6 Mn 2.56
Mn: 0.5000 0.4046 0.0000  5 As 2.45-2.56, 2 Ni 2.72

=====

7.
Here is a crystal of MnNiAs2 relaxed with PBEsol from Alexandria via LeMat-Bulk. Energies are from meta-GGA SCAN.

Results
The density of states at the Fermi level is 0.54 states/eV/atom. The energy relative to the elements comes out at -0.21 eV/atom. The magnetic moment is 3.37 μB/cell. The final energy is -18.91 eV per atom. The value obtained for the energy relative to the lowest polymorph listed for this composition is 0.000 eV per atom.

a = 2.7836 Å, b = 3.5893 Å, c = 6.1942 Å
α = 106.84°, β = 102.98°, γ = 90.00°
With the nearest neighbours (Å) after each atom.
Positions (direct):
Mn: 0.5624 0.5624 0.1248  6 As 2.47-2.58
Ni: 0.2732 0.7732 0.5464  6 As 2.39-2.52
As: 0.7091 0.2091 0.4181  4 Ni 2.39, 2 Mn 2.47
As: 0.9554 0.9554 0.9107  2 Ni 2.52, 4 Mn 2.58, 2 As 2.78

=====

8.
Here is a crystal of MnNiAs relaxed with PBEsol from Alexandria via LeMat-Bulk. Energies are from meta-GGA SCAN.

Results
The density of states at the Fermi level is 0.25 states/eV/atom. The energy relative to the elements comes out at -0.50 eV/atom. The magnetic moment is 4.00 μB/cell. The final energy is -18.71 eV per atom.

a = 3.9229 Å, b = 3.9229 Å, c = 3.9229 Å
α = 60.00°, β = 60.00°, γ = 60.00°
With the nearest neighbours (Å) after each atom.
Positions (direct):
Mn: 0.0000 0.0000 0.0000  4 Ni 2.40
As: 0.5000 0.5000 0.5000  4 Ni 2.40
Ni: 0.2500 0.2500 0.2500  4 As 2.40, 4 Mn 2.40

=====

9.
Here is a crystal of MnAs2O4 relaxed with PBEsol from Alexandria via LeMat-Bulk. Energies are from meta-GGA SCAN.

Results
The magnetic moment is 20.00 μB/cell. The calculation puts the formation energy (no corrections) at -1.515 eV per atom. The final energy is -13.45 eV per atom.

a = 5.7635 Å, b = 8.5423 Å, c = 8.5423 Å
α = 90.00°, β = 90.00°, γ = 90.00°
With the nearest neighbours (Å) after each atom.
Positions (direct):
O: 0.0000 0.8920 0.6414  1 As 1.76
O: 0.7500 0.8170 0.3170  2 As 1.89
O: 0.2500 0.1830 0.6830  2 As 1.89
As: 0.0000 0.1889 0.8255  3 O 1.76-1.89
O: 0.5000 0.3586 0.8920  1 As 1.76
Mn: 0.7500 0.0000 0.5000  6 O 2.09-2.21
O: 0.5000 0.6414 0.1080  1 As 1.76
O: 0.7500 0.6830 0.8170  2 As 1.89
Mn: 0.2500 0.0000 0.5000  6 O 2.09-2.21
O: 0.5000 0.8586 0.6080  1 As 1.76
O: 0.2500 0.3170 0.1830  2 As 1.89
As: 0.5000 0.6745 0.3111  3 O 1.76-1.89
O: 0.0000 0.6080 0.1414  1 As 1.76
Mn: 0.2500 0.5000 0.0000  6 O 2.09-2.21
As: 0.5000 0.1745 0.1889  3 O 1.76-1.89
As: 0.0000 0.6889 0.6745  3 O 1.76-1.89
As: 0.5000 0.3255 0.6889  3 O 1.76-1.89
O: 0.2500 0.6830 0.8170  2 As 1.89
O: 0.7500 0.1830 0.6830  2 As 1.89
O: 0.0000 0.1080 0.3586  1 As 1.76
O: 0.7500 0.3170 0.1830  2 As 1.89
O: 0.0000 0.3920 0.8586  1 As 1.76
O: 0.5000 0.1414 0.3920  1 As 1.76
As: 0.5000 0.8255 0.8111  3 O 1.76-1.89
As: 0.0000 0.8111 0.1745  3 O 1.76-1.89
O: 0.2500 0.8170 0.3170  2 As 1.89
Mn: 0.7500 0.5000 0.0000  6 O 2.09-2.21
As: 0.0000 0.3111 0.3255  3 O 1.76-1.89

=====

10.
Here is a crystal of MnAsO4 relaxed with PBEsol from Alexandria via LeMat-Bulk. Energies are from meta-GGA SCAN.

Results
The magnetic moment is 16.00 μB/cell. The calculation puts the formation energy (no corrections) at -1.683 eV per atom. The final energy is -12.24 eV per atom.

a = 4.8044 Å, b = 6.6683 Å, c = 8.9729 Å
α = 90.00°, β = 90.00°, γ = 94.20°
With the nearest neighbours (Å) after each atom.
Positions (direct):
Mn: 0.5000 0.0000 0.5000  4 O 1.87-1.97
Mn: 0.5000 0.5000 0.5000  4 O 1.86-1.93
O: 0.9109 0.7716 0.1272  1 As 1.74, 1 Mn 1.93
O: 0.8044 0.2864 0.1205  1 As 1.72
O: 0.0891 0.2284 0.8728  1 As 1.74, 1 Mn 1.93
O: 0.5891 0.7284 0.6272  1 As 1.74, 1 Mn 1.93
O: 0.4109 0.2716 0.3728  1 As 1.74, 1 Mn 1.93
O: 0.8062 0.5590 0.3770  1 As 1.71, 1 Mn 1.86
O: 0.1872 0.0069 0.6230  1 As 1.71, 1 Mn 1.87
O: 0.3128 0.4931 0.1230  1 As 1.71, 1 Mn 1.87
O: 0.6956 0.2136 0.6205  1 As 1.72
As: 0.5357 0.7171 0.8193  4 O 1.71-1.74
O: 0.1956 0.7136 0.8795  1 As 1.72
Mn: 0.0000 0.0000 0.0000  4 O 1.86-1.93
As: 0.9643 0.7829 0.3193  4 O 1.71-1.74
As: 0.4643 0.2829 0.1807  4 O 1.71-1.74
O: 0.1938 0.4410 0.6230  1 As 1.71, 1 Mn 1.86
O: 0.3044 0.7864 0.3795  1 As 1.72
Mn: 0.0000 0.5000 0.0000  4 O 1.87-1.97
O: 0.6872 0.5069 0.8770  1 As 1.71, 1 Mn 1.87
O: 0.8128 0.9931 0.3770  1 As 1.71, 1 Mn 1.87
O: 0.3062 0.0590 0.1230  1 As 1.71, 1 Mn 1.86
As: 0.0357 0.2171 0.6807  4 O 1.71-1.74
O: 0.6938 0.9410 0.8770  1 As 1.71, 1 Mn 1.86